# 1
The following is a PBE calculation of a relaxed structure of NdTeI, from the Alexandria database.

The value obtained for the energy above the most stable polymorph in this dataset is 0 meV per atom.

The structure belongs to space group P2_1/m (No. 11); the cell edges are 4.525, 6.299 and 9.666 Å and the angles 90.00°, 90.44° and 90.00°. The distinct sites, in fractional coordinates, are Nd at (0.248, 0.250, 0.370), Te at (0.248, 0.750, 0.397) and I at (0.256, 0.750, 0.856).

# 2
The following is a PBE calculation of a relaxed structure of PmPr12Al3, from the Alexandria database.

Its formation enthalpy at 0 K is -0.1067 eV/atom.

The structure belongs to space group P4/mmm (No. 123); the cell edges are 4.979, 4.979 and 20.359 Å and the angles 90.00°, 90.00° and 90.00°. The distinct sites, in fractional coordinates, are Pm at (0.000, 0.000, 0.000), Pr at (0.000, 0.500, 0.136), Pr at (0.000, 0.500, 0.379), Pr at (0.500, 0.500, 0.000), Pr at (0.500, 0.500, 0.259), Pr at (0.500, 0.500, 0.500), Al at (0.000, 0.000, 0.258) and Al at (0.000, 0.000, 0.500).

# 3
The following is a PBE calculation of a relaxed structure of Hf2MgBi, from the Alexandria database.

Its formation enthalpy at 0 K is 0.3588 eV/atom.

The structure belongs to space group I-42d (No. 122); the cell edges are 8.052, 8.052 and 6.068 Å and the angles 90.00°, 90.00° and 90.00°. The distinct sites, in fractional coordinates, are Hf at (0.246, 0.250, 0.125), Mg at (0.000, 0.000, 0.500) and Bi at (0.000, 0.000, 0.000).

# 4
The following is a PBE calculation of a relaxed structure of CoNi3Rh, from the Alexandria database.

The value obtained for the energy above the most stable polymorph in this dataset is 1068 meV per atom. Its formation enthalpy at 0 K is 1.0825 eV/atom.

The structure belongs to space group Pm-3m (No. 221); the cell edges are 4.191, 4.191 and 4.191 Å and the angles 90.00°, 90.00° and 90.00°. The distinct sites, in fractional coordinates, are Co at (0.000, 0.000, 0.000), Ni at (0.000, 0.000, 0.500) and Rh at (0.500, 0.500, 0.500).

# 5
The following is a PBE calculation of a relaxed structure of Pt3Au7, from the Alexandria database.

Its formation enthalpy at 0 K is 0.0389 eV/atom.

The structure belongs to space group C2/m (No. 12); the cell edges are 14.759, 4.133 and 5.784 Å and the angles 90.00°, 101.87° and 90.00°. The distinct sites, in fractional coordinates, are Pt at (0.000, 0.000, 0.000), Pt at (0.201, 0.000, 0.597), Au at (0.000, 0.000, 0.500), Au at (0.100, 0.500, 0.800), Au at (0.101, 0.500, 0.301) and Au at (0.200, 0.000, 0.101).

# 6
The following is a PBE calculation of a relaxed structure of Tb4Nd4Tm, from the Alexandria database.

Its formation enthalpy at 0 K is 0.0160 eV/atom.

The structure belongs to space group I4/mmm (No. 139); the cell edges are 10.829, 10.829 and 5.082 Å and the angles 90.00°, 90.00° and 90.00°. The distinct sites, in fractional coordinates, are Tb at (0.000, 0.334, 0.000), Nd at (0.166, 0.166, 0.500) and Tm at (0.000, 0.000, 0.000).

Number 1: DFT total energy -27.5 eV/cell. Number 2: DFT total energy -75.0 eV/cell. Number 3: DFT total energy -95.8 eV/cell. Number 4: DFT total energy -26.4 eV/cell. Number 5: DFT total energy -81.3 eV/cell. Number 6: DFT total energy -83.8 eV/cell.